DFT (PBEsol) results for a geometry-optimized ReSnPRh2 structure.

As for the formation energy from the elements: 0.23 eV/atom. Its uncorrected energy is -38.49 eV/cell.

Cell lengths 4.3308, 4.3308, 4.4171 Å; angles 90.00, 90.00, 90.00 degrees
Space group P4/mmm (No. 123)
Asymmetric unit:
Re 0.0000 0.0000 0.0000
Sn 0.5000 0.5000 0.0000
P 0.0000 0.0000 0.5000
Rh 0.0000 0.5000 0.5000